Entry 1:
The following is a GGA-PBE calculation of a geometry-optimized ScCuC structure, from the Alexandria database.

DOS(E_F) in states/eV per cell: 0.9
DFT formation energy in meV/atom: -99
SG: Pnma, No. 62

abc: 6.333 4.576 5.197
angles: 90.00 90.00 90.00
Fractional positions:
Sc: 0.166 0.250 0.145
Sc: 0.334 0.750 0.645
Sc: 0.666 0.250 0.355
Sc: 0.834 0.750 0.855
Cu: 0.033 0.250 0.657
Cu: 0.467 0.750 0.157
Cu: 0.533 0.250 0.843
Cu: 0.967 0.750 0.343
C: 0.175 0.750 0.044
C: 0.325 0.250 0.544
C: 0.675 0.750 0.456
C: 0.825 0.250 0.956

=====

Entry 2:
The following is a GGA-PBE calculation of a geometry-optimized ZnIn2F structure, from the Alexandria database.

E above lowest polymorph in eV/f.u.: 0.00
DOS(E_F) in states/eV per cell: 3.0
SG: I-42d, No. 122
Uncorrected formation energy in eV per atom: -0.580

abc: 8.166 8.166 8.166
angles: 142.47 142.47 54.12
Fractional positions:
Zn: 0.000 0.000 0.000
Zn: 0.750 0.250 0.500
In: 0.183 0.625 0.058
In: 0.375 0.433 0.558
In: 0.567 0.125 0.942
In: 0.875 0.817 0.442
F: 0.250 0.750 0.500
F: 0.500 0.500 0.000

=====

Entry 3:
The following is a GGA-PBE calculation of a geometry-optimized KTaBr3 structure, from the Alexandria database.

E above lowest polymorph in eV/f.u.: 6.57
DOS(E_F) in states/eV per cell: 6.2
SG: Pm-3m, No. 221
Uncorrected formation energy in eV per atom: 0.743

abc: 5.735 5.735 5.735
angles: 90.00 90.00 90.00
Fractional positions:
K: 0.000 0.000 0.000
Ta: 0.500 0.500 0.500
Br: 0.000 0.000 0.500
Br: 0.000 0.500 0.000
Br: 0.500 0.000 0.000

=====

Entry 4:
The following is a GGA-PBE calculation of a geometry-optimized La12Co5Cu3 structure, from the Alexandria database.

DOS(E_F) in states/eV per cell: 75.6
DFT formation energy in meV/atom: 65
SG: Ia-3d, No. 230

abc: 14.516 14.516 14.516
angles: 109.47 109.47 109.47
Fractional positions:
La: 0.032 0.210 0.124
La: 0.032 0.322 0.908
La: 0.086 0.710 0.678
La: 0.086 0.876 0.408
La: 0.092 0.624 0.414
La: 0.092 0.968 0.678
La: 0.124 0.032 0.210
La: 0.124 0.592 0.914
La: 0.178 0.210 0.586
La: 0.178 0.468 0.592
La: 0.210 0.124 0.032
La: 0.210 0.586 0.178
La: 0.290 0.322 0.914
La: 0.290 0.468 0.376
La: 0.322 0.908 0.032
La: 0.322 0.914 0.290
La: 0.376 0.290 0.468
La: 0.376 0.586 0.908
La: 0.408 0.086 0.876
La: 0.408 0.822 0.532
La: 0.414 0.092 0.624
La: 0.414 0.822 0.790
La: 0.468 0.376 0.290
La: 0.468 0.592 0.178
La: 0.532 0.408 0.822
La: 0.532 0.624 0.710
La: 0.586 0.178 0.210
La: 0.586 0.908 0.376
La: 0.592 0.178 0.468
La: 0.592 0.914 0.124
La: 0.624 0.414 0.092
La: 0.624 0.710 0.532
La: 0.678 0.086 0.710
La: 0.678 0.092 0.968
La: 0.710 0.532 0.624
La: 0.710 0.678 0.086
La: 0.790 0.414 0.822
La: 0.790 0.876 0.968
La: 0.822 0.532 0.408
La: 0.822 0.790 0.414
La: 0.876 0.408 0.086
La: 0.876 0.968 0.790
La: 0.908 0.032 0.322
La: 0.908 0.376 0.586
La: 0.914 0.124 0.592
La: 0.914 0.290 0.322
La: 0.968 0.678 0.092
La: 0.968 0.790 0.876
Co: 0.000 0.000 0.000
Co: 0.000 0.000 0.500
Co: 0.000 0.500 0.000
Co: 0.000 0.500 0.500
Co: 0.125 0.750 0.875
Co: 0.125 0.875 0.250
Co: 0.250 0.125 0.875
Co: 0.250 0.625 0.375
Co: 0.375 0.250 0.625
Co: 0.375 0.625 0.750
Co: 0.500 0.000 0.000
Co: 0.500 0.000 0.500
Co: 0.500 0.500 0.000
Co: 0.500 0.500 0.500
Co: 0.625 0.375 0.250
Co: 0.625 0.750 0.375
Co: 0.750 0.375 0.625
Co: 0.750 0.875 0.125
Co: 0.875 0.125 0.750
Co: 0.875 0.250 0.125
Cu: 0.125 0.250 0.375
Cu: 0.125 0.375 0.750
Cu: 0.250 0.375 0.125
Cu: 0.250 0.875 0.625
Cu: 0.375 0.125 0.250
Cu: 0.375 0.750 0.125
Cu: 0.625 0.250 0.875
Cu: 0.625 0.875 0.750
Cu: 0.750 0.125 0.375
Cu: 0.750 0.625 0.875
Cu: 0.875 0.625 0.250
Cu: 0.875 0.750 0.625

=====

Entry 5:
The following is a GGA-PBE calculation of a geometry-optimized LiZrCrMo2 structure, from the Alexandria database.

DOS(E_F) in states/eV per cell: 4.7
DFT formation energy in meV/atom: 939
SG: P4/mmm, No. 123

abc: 4.483 4.483 4.939
angles: 90.00 90.00 90.00
Fractional positions:
Li: 0.000 0.000 0.000
Zr: 0.500 0.500 0.000
Cr: 0.500 0.500 0.500
Mo: 0.000 0.500 0.500
Mo: 0.500 0.000 0.500

=====

Entry 6:
The following is a GGA-PBE calculation of a geometry-optimized UTl2Cr2S6 structure, from the Alexandria database.

DOS(E_F) in states/eV per cell: 6.4
SG: C2/m, No. 12
Uncorrected formation energy in eV per atom: -0.828

abc: 6.309 6.309 7.914
angles: 97.23 97.23 120.36
Fractional positions:
U: 0.000 0.000 0.000
Tl: 0.160 0.840 0.500
Tl: 0.840 0.160 0.500
Cr: 0.333 0.667 0.000
Cr: 0.667 0.333 0.000
S: 0.056 0.414 0.182
S: 0.302 0.302 0.819
S: 0.414 0.056 0.182
S: 0.586 0.944 0.818
S: 0.698 0.698 0.181
S: 0.944 0.586 0.818

=====

Entry 7:
The following is a GGA-PBE calculation of a geometry-optimized AcSi2IrRh structure, from the Alexandria database.

DOS(E_F) in states/eV per cell: 1.6
SG: I-4m2, No. 119
Uncorrected formation energy in eV per atom: -0.974

abc: 6.158 6.158 6.158
angles: 140.32 140.32 57.37
Fractional positions:
Ac: 0.000 0.000 0.000
Si: 0.365 0.365 0.000
Si: 0.635 0.635 0.000
Ir: 0.250 0.750 0.500
Rh: 0.750 0.250 0.500

=====

Entry 8:
The following is a GGA-PBE calculation of a geometry-optimized AgAsBrF6 structure, from the Alexandria database.

DOS(E_F) in states/eV per cell: 2.9
SG: P1, No. 1
Uncorrected formation energy in eV per atom: -1.600

abc: 5.004 5.388 5.894
angles: 86.38 89.28 77.22
Fractional positions:
Ag: 0.000 0.000 0.000
As: 0.021 0.454 0.425
Br: 0.513 0.948 0.901
F: 0.168 0.573 0.170
F: 0.248 0.564 0.597
F: 0.252 0.157 0.402
F: 0.784 0.749 0.430
F: 0.791 0.342 0.245
F: 0.869 0.332 0.670

=====

Entry 9:
The following is a GGA-PBE calculation of a geometry-optimized FeCo structure, from the Alexandria database.

DOS(E_F) in states/eV per cell: 7.1
DFT formation energy in meV/atom: -6
SG: Imm2, No. 44

abc: 8.406 8.406 8.406
angles: 160.56 152.38 34.00
Fractional positions:
Fe: 0.000 0.000 0.000
Fe: 0.249 0.249 0.000
Fe: 0.748 0.748 0.000
Fe: 0.874 0.374 0.500
Co: 0.124 0.624 0.500
Co: 0.374 0.874 0.500
Co: 0.500 0.500 0.000
Co: 0.625 0.125 0.500

=====

Entry 10:
The following is a GGA-PBE calculation of a geometry-optimized Sn6SbSe3S2 structure, from the Alexandria database.

DOS(E_F) in states/eV per cell: 5.0
SG: C2/m, No. 12
Uncorrected formation energy in eV per atom: -0.312

abc: 7.413 7.413 7.328
angles: 99.31 99.31 120.99
Fractional positions:
Sn: 0.076 0.420 0.761
Sn: 0.248 0.248 0.259
Sn: 0.420 0.076 0.761
Sn: 0.580 0.924 0.239
Sn: 0.752 0.752 0.741
Sn: 0.924 0.580 0.239
Sb: 0.500 0.500 0.000
Se: 0.000 0.000 0.500
Se: 0.344 0.656 0.500
Se: 0.656 0.344 0.500
S: 0.175 0.825 0.000
S: 0.825 0.175 0.000

=====

Entry 11:
The following is a GGA-PBE calculation of a geometry-optimized ThU2Co9 structure, from the Alexandria database.

DOS(E_F) in states/eV per cell: 17.0
DFT formation energy in meV/atom: -195
SG: R-3m, No. 166

abc: 8.637 8.637 8.637
angles: 32.65 32.65 32.65
Fractional positions:
Th: 0.000 0.000 0.000
U: 0.140 0.140 0.140
U: 0.860 0.860 0.860
Co: 0.084 0.584 0.584
Co: 0.333 0.333 0.333
Co: 0.416 0.416 0.916
Co: 0.416 0.916 0.416
Co: 0.500 0.500 0.500
Co: 0.584 0.084 0.584
Co: 0.584 0.584 0.084
Co: 0.667 0.667 0.667
Co: 0.916 0.416 0.416

=====

Entry 12:
The following is a GGA-PBE calculation of a geometry-optimized Na4Ce3PbS8 structure, from the Alexandria database.

DOS(E_F) in states/eV per cell: 13.4
SG: R-3m, No. 166
Uncorrected formation energy in eV per atom: -1.538

abc: 8.185 8.185 8.185
angles: 61.07 61.07 61.07
Fractional positions:
Na: 0.000 0.000 0.000
Na: 0.000 0.500 0.500
Na: 0.500 0.000 0.500
Na: 0.500 0.500 0.000
Ce: 0.000 0.000 0.500
Ce: 0.000 0.500 0.000
Ce: 0.500 0.000 0.000
Pb: 0.500 0.500 0.500
S: 0.229 0.751 0.751
S: 0.244 0.244 0.244
S: 0.249 0.249 0.771
S: 0.249 0.771 0.249
S: 0.751 0.229 0.751
S: 0.751 0.751 0.229
S: 0.756 0.756 0.756
S: 0.771 0.249 0.249

=====

Entry 13:
The following is a GGA-PBE calculation of a geometry-optimized LaY6Ho3Sc2 structure, from the Alexandria database.

DOS(E_F) in states/eV per cell: 18.3
DFT formation energy in meV/atom: 46
SG: C2/m, No. 12

abc: 6.100 6.100 11.707
angles: 94.95 94.95 119.97
Fractional positions:
La: 0.000 0.000 0.000
Y: 0.084 0.420 0.248
Y: 0.253 0.253 0.751
Y: 0.420 0.084 0.248
Y: 0.580 0.916 0.752
Y: 0.747 0.747 0.249
Y: 0.916 0.580 0.752
Ho: 0.167 0.833 0.500
Ho: 0.500 0.500 0.500
Ho: 0.833 0.167 0.500
Sc: 0.333 0.667 0.000
Sc: 0.667 0.333 0.000

=====

Entry 14:
The following is a GGA-PBE calculation of a geometry-optimized RbPrI2 structure, from the Alexandria database.

DOS(E_F) in states/eV per cell: 2.9
SG: R-3m, No. 166
Uncorrected formation energy in eV per atom: -0.973

abc: 12.042 12.042 12.042
angles: 20.38 20.38 20.38
Fractional positions:
Rb: 0.000 0.000 0.000
Pr: 0.500 0.500 0.500
I: 0.106 0.106 0.106
I: 0.894 0.894 0.894

=====

Entry 15:
The following is a GGA-PBE calculation of a geometry-optimized Ca2Pr2Pd3 structure, from the Alexandria database.

E above lowest polymorph in eV/f.u.: 0.11
DOS(E_F) in states/eV per cell: 3.9
DFT formation energy in meV/atom: -605
SG: P-1, No. 2

abc: 4.554 5.655 7.834
angles: 76.29 74.62 89.94
Fractional positions:
Ca: 0.127 0.073 0.280
Ca: 0.873 0.927 0.720
Pr: 0.352 0.411 0.783
Pr: 0.648 0.589 0.217
Pd: 0.000 0.500 0.500
Pd: 0.262 0.843 0.969
Pd: 0.738 0.157 0.031

=====

Entry 16:
The following is a GGA-PBE calculation of a geometry-optimized BiIrI2N structure, from the Alexandria database.

E above lowest polymorph in eV/f.u.: 6.65
DOS(E_F) in states/eV per cell: 7.1
SG: P4/mmm, No. 123
Uncorrected formation energy in eV per atom: 1.755

abc: 6.199 6.199 4.132
angles: 90.00 90.00 90.00
Fractional positions:
Bi: 0.000 0.000 0.000
Ir: 0.500 0.500 0.500
I: 0.000 0.500 0.000
I: 0.500 0.000 0.000
N: 0.000 0.000 0.500

=====

Entry 17:
The following is a GGA-PBE calculation of a geometry-optimized NaScIn2Ga structure, from the Alexandria database.

DOS(E_F) in states/eV per cell: 5.3
DFT formation energy in meV/atom: 628
SG: P4/mmm, No. 123

abc: 5.566 5.566 5.893
angles: 90.00 90.00 90.00
Fractional positions:
Na: 0.000 0.000 0.000
Sc: 0.000 0.000 0.500
In: 0.000 0.500 0.500
In: 0.500 0.000 0.500
Ga: 0.500 0.500 0.000

=====

Entry 18:
The following is a GGA-PBE calculation of a geometry-optimized Eu3Au structure, from the Alexandria database.

E above lowest polymorph in eV/f.u.: 0.77
DOS(E_F) in states/eV per cell: 4.1
DFT formation energy in meV/atom: -250
SG: Pm-3m, No. 221

abc: 5.002 5.002 5.002
angles: 90.00 90.00 90.00
Fractional positions:
Eu: 0.000 0.000 0.500
Eu: 0.000 0.500 0.000
Eu: 0.500 0.000 0.000
Au: 0.500 0.500 0.500

=====

Entry 19:
The following is a GGA-PBE calculation of a geometry-optimized NpPa2Mn structure, from the Alexandria database.

DOS(E_F) in states/eV per cell: 7.6
DFT formation energy in meV/atom: 317
SG: R-3m, No. 166

abc: 8.530 8.530 8.530
angles: 23.36 23.36 23.36
Fractional positions:
Np: 0.000 0.000 0.000
Pa: 0.233 0.233 0.233
Pa: 0.767 0.767 0.767
Mn: 0.500 0.500 0.500

=====

Entry 20:
The following is a GGA-PBE calculation of a geometry-optimized BaVW3 structure, from the Alexandria database.

E above lowest polymorph in eV/f.u.: 10.86
DOS(E_F) in states/eV per cell: 8.4
DFT formation energy in meV/atom: 3860
SG: Pm-3m, No. 221

abc: 4.963 4.963 4.963
angles: 90.00 90.00 90.00
Fractional positions:
Ba: 0.000 0.000 0.000
V: 0.500 0.500 0.500
W: 0.000 0.000 0.500
W: 0.000 0.500 0.000
W: 0.500 0.000 0.000